[1]
{
  "formula": "Pr4HgPSe2",
  "functional": "GGA-PBE",
  "state": "optimized geometry",
  "space_group": "No. 10",
  "formation_energy_uncorrected_ev_per_atom": -1.401,
  "cell": [[7.4649, 0.0000, 0.0000], [0.0000, 4.2526, 0.0000], [-2.4402, 0.0000, 7.1160]],
  "species": ["Pr", "Pr", "Pr", "Pr", "Hg", "P", "Se", "Se"],
  "fractional_positions": [[0.2418, 0.0000, 0.2332], [0.2559, 0.5000, 0.7654], [0.7441, 0.5000, 0.2346], [0.7582, 0.0000, 0.7668], [0.0000, 0.0000, 0.5000], [0.0000, 0.5000, 0.0000], [0.5000, 0.0000, 0.0000], [0.5000, 0.5000, 0.5000]]
}

[2]
{
  "formula": "Pr4HgTe2P",
  "functional": "GGA-PBE",
  "state": "optimized geometry",
  "space_group": "No. 10",
  "formation_energy_uncorrected_ev_per_atom": -1.214,
  "cell": [[7.7164, 0.0000, 0.0000], [0.0000, 4.3479, 0.0000], [-2.4614, 0.0000, 7.3825]],
  "species": ["Pr", "Pr", "Pr", "Pr", "Hg", "Te", "Te", "P"],
  "fractional_positions": [[0.2234, 0.0000, 0.2263], [0.2380, 0.5000, 0.7593], [0.7620, 0.5000, 0.2407], [0.7766, 0.0000, 0.7737], [0.0000, 0.0000, 0.5000], [0.5000, 0.0000, 0.0000], [0.5000, 0.5000, 0.5000], [0.0000, 0.5000, 0.0000]]
}

[3]
{
  "formula": "HgP2Pt",
  "functional": "GGA-PBE",
  "state": "optimized geometry",
  "space_group": "No. 119",
  "energy_ha_per_atom": -0.1373,
  "cell": [[-2.0493, 2.0493, 4.0976], [2.0493, -2.0493, 4.0976], [2.0493, 2.0493, -4.0976]],
  "species": ["Hg", "P", "P", "Pt"],
  "fractional_positions": [[0.0000, 0.0000, 0.0000], [0.2500, 0.7500, 0.5000], [0.5000, 0.5000, 0.0000], [0.7500, 0.2500, 0.5000]]
}

[4]
{
  "formula": "Hg2PPt",
  "functional": "GGA-PBE",
  "state": "optimized geometry",
  "space_group": "No. 166",
  "energy_ha_per_atom": -0.0958,
  "cell": [[1.8239, 1.0530, 7.1028], [-1.8239, 1.0530, 7.1028], [0.0000, -2.1061, 7.1028]],
  "species": ["Hg", "Hg", "P", "Pt"],
  "fractional_positions": [[0.2482, 0.2482, 0.2482], [0.7518, 0.7518, 0.7518], [0.5000, 0.5000, 0.5000], [0.0000, 0.0000, 0.0000]]
}

[5]
{
  "formula": "Hg2PPt",
  "functional": "GGA-PBE",
  "state": "optimized geometry",
  "space_group": "No. 6",
  "energy_ha_per_atom": -0.1095,
  "cell": [[2.8285, 0.0000, 0.0000], [0.0000, 3.4758, 0.0000], [-0.7445, 0.0000, 8.6836]],
  "species": ["Hg", "Hg", "P", "Pt"],
  "fractional_positions": [[0.0000, 0.0000, 0.0000], [0.2877, 0.5000, 0.2993], [0.8928, 0.5000, 0.7076], [0.8414, 0.0000, 0.5347]]
}

[6]
{
  "formula": "Hg2PPt",
  "functional": "GGA-PBE",
  "state": "optimized geometry",
  "space_group": "No. 123",
  "energy_ha_per_atom": -0.0966,
  "cell": [[4.2331, 0.0000, 0.0000], [0.0000, 4.2331, 0.0000], [0.0000, 0.0000, 4.1795]],
  "species": ["Hg", "Hg", "P", "Pt"],
  "fractional_positions": [[0.0000, 0.5000, 0.0000], [0.5000, 0.0000, 0.0000], [0.0000, 0.0000, 0.5000], [0.5000, 0.5000, 0.5000]]
}

[7]
{
  "formula": "HgP2Pt",
  "functional": "GGA-PBE",
  "state": "optimized geometry",
  "space_group": "No. 99",
  "energy_ha_per_atom": -0.1470,
  "cell": [[3.1622, 0.0000, 0.0000], [0.0000, 3.1622, 0.0000], [0.0000, 0.0000, 7.3305]],
  "species": ["Hg", "P", "P", "Pt"],
  "fractional_positions": [[0.0000, 0.0000, 0.0000], [0.0000, 0.0000, 0.5089], [0.5000, 0.5000, 0.3864], [0.5000, 0.5000, 0.7197]]
}

[8]
{
  "formula": "HgP2Pt",
  "functional": "GGA-PBE",
  "state": "optimized geometry",
  "space_group": "No. 123",
  "energy_ha_per_atom": -0.1389,
  "cell": [[3.8645, 0.0000, 0.0000], [0.0000, 3.8645, 0.0000], [0.0000, 0.0000, 4.6761]],
  "species": ["Hg", "P", "P", "Pt"],
  "fractional_positions": [[0.0000, 0.0000, 0.0000], [0.0000, 0.5000, 0.5000], [0.5000, 0.0000, 0.5000], [0.5000, 0.5000, 0.0000]]
}

[9]
{
  "formula": "HgP2Pt",
  "functional": "GGA-PBE",
  "state": "optimized geometry",
  "space_group": "No. 8",
  "energy_ha_per_atom": -0.1633,
  "cell": [[5.4028, -1.8616, 0.0000], [5.4028, 1.8616, 0.0000], [-0.3113, 0.0000, 4.3926]],
  "species": ["Hg", "P", "P", "Pt"],
  "fractional_positions": [[0.0000, 0.0000, 0.0000], [0.6591, 0.6591, 0.7237], [0.7801, 0.7801, 0.1434], [0.2195, 0.2195, 0.4233]]
}

[10]
{
  "formula": "Hg2PPt",
  "functional": "GGA-PBE",
  "state": "optimized geometry",
  "space_group": "No. 12",
  "energy_ha_per_atom": -0.0979,
  "cell": [[2.8174, -4.8108, 0.0000], [2.8174, 4.8108, 0.0000], [-2.8021, 0.0000, 2.9480]],
  "species": ["Hg", "Hg", "P", "Pt"],
  "fractional_positions": [[0.0000, 0.5000, 0.0000], [0.5000, 0.0000, 0.0000], [0.0000, 0.0000, 0.5000], [0.5000, 0.5000, 0.5000]]
}

[11]
{
  "formula": "Hg3PPt",
  "functional": "GGA-PBE",
  "state": "optimized geometry",
  "relative_energy_ev_per_atom": 0.0000,
  "space_group": "No. 221",
  "cell": [[5.3012, 0.0000, 0.0000], [0.0000, 5.3012, 0.0000], [0.0000, 0.0000, 5.3012]],
  "species": ["Hg", "Hg", "Hg", "P", "Pt"],
  "fractional_positions": [[0.0000, 0.0000, 0.5000], [0.0000, 0.5000, 0.0000], [0.5000, 0.0000, 0.0000], [0.5000, 0.5000, 0.5000], [0.0000, 0.0000, 0.0000]]
}

[12]
{
  "formula": "HgP2Pt",
  "functional": "GGA-PBE",
  "state": "optimized geometry",
  "space_group": "No. 216",
  "energy_ha_per_atom": -0.1349,
  "cell": [[0.0000, 3.2689, 3.2689], [3.2689, 0.0000, 3.2689], [3.2689, 3.2689, 0.0000]],
  "species": ["Hg", "P", "P", "Pt"],
  "fractional_positions": [[0.0000, 0.0000, 0.0000], [0.5000, 0.5000, 0.5000], [0.7500, 0.7500, 0.7500], [0.2500, 0.2500, 0.2500]]
}

[13]
{
  "formula": "HgP2Pt",
  "functional": "GGA-PBE",
  "state": "optimized geometry",
  "space_group": "No. 6",
  "energy_ha_per_atom": -0.1606,
  "cell": [[4.5271, 0.0000, 0.0000], [0.0000, 3.2866, 0.0000], [-0.9515, 0.0000, 6.4829]],
  "species": ["Hg", "P", "P", "Pt"],
  "fractional_positions": [[0.0000, 0.0000, 0.0000], [0.5753, 0.5000, 0.4580], [0.8671, 0.0000, 0.5855], [0.0676, 0.5000, 0.3530]]
}